# 1
Hf5Pa2In: relaxed, PBE.

Structure (POSCAR):
```
Hf5Pa2In
1.0
4.372 0.000 0.000
0.000 4.372 0.000
0.000 0.000 19.132
Hf Pa In
10 4 2
direct
0.000 0.000 0.000 Hf
0.000 0.500 0.120 Hf
0.000 0.500 0.380 Hf
0.000 0.500 0.620 Hf
0.000 0.500 0.880 Hf
0.500 0.000 0.120 Hf
0.500 0.000 0.380 Hf
0.500 0.000 0.620 Hf
0.500 0.000 0.880 Hf
0.500 0.500 0.500 Hf
0.000 0.000 0.249 Pa
0.000 0.000 0.751 Pa
0.500 0.500 0.251 Pa
0.500 0.500 0.749 Pa
0.000 0.000 0.500 In
0.500 0.500 0.000 In
```

Summary:
Formation energy = -0.007 eV/atom

=====

# 2
PrHfPb2: relaxed, PBE.

Structure (POSCAR):
```
PrHfPb2
1.0
4.888 0.000 0.000
-2.444 4.233 0.000
0.000 0.000 16.692
Pr Hf Pb
3 3 6
direct
0.000 0.000 0.000 Pr
0.333 0.667 0.667 Pr
0.667 0.333 0.333 Pr
0.000 0.000 0.500 Hf
0.333 0.667 0.167 Hf
0.667 0.333 0.833 Hf
0.000 0.000 0.236 Pb
0.000 0.000 0.764 Pb
0.333 0.667 0.431 Pb
0.333 0.667 0.903 Pb
0.667 0.333 0.097 Pb
0.667 0.333 0.569 Pb
```

Summary:
Formation energy = -0.161 eV/atom
Energy relative to the lowest polymorph listed for this composition = 13 meV per atom

=====

# 3
NaAcSe2: relaxed, PBE.

Structure (POSCAR):
```
NaAcSe2
1.0
4.433 0.000 0.000
-2.216 3.839 0.000
0.000 0.000 7.541
Na Ac Se
1 1 2
direct
0.000 0.000 0.000 Na
0.000 0.000 0.500 Ac
0.333 0.667 0.261 Se
0.667 0.333 0.739 Se
```

Summary:
Formation energy (no corrections) = -160.0 kJ per mole of atoms

=====

| no. | magnetization (μB per atom) |
| --- | --- |
| 1 | 0.000 |
| 2 | 0.000 |
| 3 | 0.000 |